Below is crystalline Tb3Ag at its relaxed geometry, with properties calculated at the PBE level.

Properties
* mass density: 8.8 g cm⁻³
* formation energy from the elements: 25.8 meV/atom
* symmetry: No. 139

abc: 4.660 4.660 6.045
angles: 112.67 112.67 90.00
Sites, in units of the cell vectors:
Tb 0.750 0.250 0.500
Tb 0.250 0.750 0.500
Tb 0.500 0.500 0.000
Ag 0.000 0.000 0.000